No. 1
An optimized crystal structure of Ni9Ge2Sb, computed with GGA-PBE.

a b c (Å): 3.638 3.638 10.836
angles (deg): 90.00 90.00 90.00
Positions (direct):
Ni  0.000  0.000  0.000
Ni  0.000  0.000  0.337
Ni  0.000  0.000  0.663
Ni  0.000  0.500  0.176
Ni  0.000  0.500  0.500
Ni  0.000  0.500  0.824
Ni  0.500  0.000  0.176
Ni  0.500  0.000  0.500
Ni  0.500  0.000  0.824
Ge  0.500  0.500  0.339
Ge  0.500  0.500  0.661
Sb  0.500  0.500  0.000

Summary:
D(E_F): 4.42 states/eV/f.u.
Crystal system: tetragonal
Energy: -68.22 eV/f.u.



No. 2
An optimized crystal structure of MoN, computed with GGA-PBE.

a b c (Å): 5.336 5.336 5.336
angles (deg): 145.54 106.66 83.61
Positions (direct):
Mo  0.366  0.116  0.250
Mo  0.634  0.884  0.750
N  0.000  0.000  0.000
N  0.500  0.000  0.500

Summary:
D(E_F): 0.74 states/eV/f.u.
Crystal system: orthorhombic
Energy: -18.40 eV/f.u.



No. 3
An optimized crystal structure of Cs2PaAg3Br12, computed with GGA-PBE.

a b c (Å): 11.475 11.475 11.475
angles (deg): 49.39 49.39 49.39
Positions (direct):
Cs  0.080  0.080  0.080
Cs  0.920  0.920  0.920
Pa  0.500  0.500  0.500
Ag  0.000  0.500  0.500
Ag  0.500  0.000  0.500
Ag  0.500  0.500  0.000
Br  0.176  0.176  0.582
Br  0.176  0.582  0.176
Br  0.179  0.584  0.584
Br  0.416  0.416  0.821
Br  0.416  0.821  0.416
Br  0.418  0.824  0.824
Br  0.582  0.176  0.176
Br  0.584  0.179  0.584
Br  0.584  0.584  0.179
Br  0.821  0.416  0.416
Br  0.824  0.418  0.824
Br  0.824  0.824  0.418

Summary:
D(E_F): 2.96 states/eV/f.u.
Crystal system: trigonal
Energy: -57.76 eV/f.u.



No. 4
An optimized crystal structure of SmZn6Au2, computed with GGA-PBE.

a b c (Å): 7.309 7.309 7.309
angles (deg): 147.95 126.19 64.02
Positions (direct):
Sm  0.000  0.000  0.000
Zn  0.014  0.311  0.702
Zn  0.318  0.500  0.818
Zn  0.391  0.689  0.702
Zn  0.609  0.311  0.298
Zn  0.682  0.500  0.182
Zn  0.986  0.689  0.298
Au  0.376  0.876  0.500
Au  0.624  0.124  0.500

Summary:
D(E_F): 2.88 states/eV/f.u.
Crystal system: orthorhombic
E_form: -0.215 eV/atom